Entry 1:
{
  "formula": "Ba2Cu",
  "functional": "PBEsol",
  "state": "relaxed",
  "spacegroup": "P-3m1, No. 164",
  "crystal_system": "trigonal",
  "cell": [[4.6026, 0.0000, 0.0000], [-2.3013, 3.9860, 0.0000], [0.0000, 0.0000, 7.3776]],
  "species": ["Ba", "Cu", "Ba"],
  "fractional_positions": [[0.6667, 0.3333, 0.7667], [0.0000, 0.0000, 0.0000], [0.3333, 0.6667, 0.2333]]
}

***

Entry 2:
{
  "formula": "Hf2GaP",
  "functional": "PBEsol",
  "state": "relaxed",
  "spacegroup": "Fm-3m, No. 225",
  "crystal_system": "cubic",
  "cell": [[-0.9395, 0.3291, -4.4752], [-0.6335, -3.7942, -2.4944], [-4.1850, -1.0539, -1.5472]],
  "species": ["Hf", "P", "Ga", "Hf"],
  "fractional_positions": [[0.7500, 0.7500, 0.7500], [0.0000, 0.0000, 0.0000], [0.5000, 0.5000, 0.5000], [0.2500, 0.2500, 0.2500]]
}

***

Entry 3:
{
  "formula": "Al2TcAs",
  "functional": "PBEsol",
  "state": "relaxed",
  "spacegroup": "Cmmm, No. 65",
  "crystal_system": "orthorhombic",
  "cell": [[-2.0989, -1.7522, 1.4274], [1.6066, -3.6669, -2.1391], [2.1256, 0.6744, 3.9535]],
  "species": ["Al", "As", "Al", "Tc"],
  "fractional_positions": [[0.0000, 0.0000, 0.5000], [0.5000, 0.0000, 0.0000], [0.0000, 0.5000, 0.0000], [0.5000, 0.5000, 0.5000]]
}

***

Entry 4:
{
  "formula": "Y2Sn5Rh3",
  "functional": "PBEsol",
  "state": "relaxed",
  "spacegroup": "Cmc2_1, No. 36",
  "crystal_system": "orthorhombic",
  "cell": [[-0.1249, -3.7496, 2.2682], [5.7598, 2.0289, 3.6712], [-7.6265, 7.5358, 7.8005]],
  "species": ["Rh", "Sn", "Y", "Y", "Rh", "Sn", "Sn", "Sn", "Rh", "Rh", "Y", "Sn", "Sn", "Sn", "Sn", "Rh", "Sn", "Rh", "Sn", "Y"],
  "fractional_positions": [[0.7773, 0.2643, 0.5546], [0.4032, 0.6104, 0.8063], [0.1720, 0.2576, 0.3440], [0.8280, 0.7576, 0.6560], [0.0500, 0.0174, 0.1000], [0.2946, 0.0486, 0.5892], [0.8800, 0.2339, 0.7600], [0.1200, 0.7339, 0.2400], [0.2227, 0.7643, 0.4454], [0.9500, 0.5174, 0.9000], [0.5237, 0.7377, 0.0475], [0.5968, 0.1104, 0.1937], [0.9523, 0.9009, 0.9046], [0.0477, 0.4009, 0.0954], [0.2907, 0.4774, 0.5815], [0.3938, 0.9837, 0.7875], [0.7054, 0.5486, 0.4108], [0.6062, 0.4837, 0.2125], [0.7093, 0.9774, 0.4185], [0.4763, 0.2377, 0.9525]]
}

***

Entry 5:
{
  "formula": "LaOsBr2",
  "functional": "PBEsol",
  "state": "relaxed",
  "spacegroup": "Fm-3m, No. 225",
  "formation_energy_uncorrected_ev_per_atom": 0.152,
  "e_above_lowest_polymorph_mev_per_atom": 576,
  "crystal_system": "cubic",
  "cell": [[-1.0600, 4.3216, -2.3343], [0.4063, 0.3211, -4.9980], [-4.1300, 0.3756, -2.8374]],
  "species": ["Br", "Os", "La", "Br"],
  "fractional_positions": [[0.7500, 0.7500, 0.7500], [0.5000, 0.5000, 0.5000], [0.0000, 0.0000, 0.0000], [0.2500, 0.2500, 0.2500]]
}

***

Entry 6:
{
  "formula": "CaInAs2",
  "functional": "PBEsol",
  "state": "relaxed",
  "spacegroup": "R3m, No. 160",
  "crystal_system": "trigonal",
  "cell": [[3.7034, 0.0000, 0.0000], [1.8517, 3.2073, 0.0000], [1.8517, 1.0691, 8.1799]],
  "species": ["As", "Ca", "In", "As"],
  "fractional_positions": [[0.7380, 0.7380, 0.7861], [0.4915, 0.4915, 0.5256], [0.2602, 0.2602, 0.2194], [0.0104, 0.0104, 0.9689]]
}

***

Entry 7:
{
  "formula": "MgSe2IBr",
  "functional": "PBEsol",
  "state": "relaxed",
  "spacegroup": "P4/mmm, No. 123",
  "formation_energy_uncorrected_ev_per_atom": -0.060,
  "e_above_lowest_polymorph_mev_per_atom": 0,
  "crystal_system": "tetragonal",
  "cell": [[4.8716, 0.0000, 0.0000], [0.0000, 5.1632, 0.0000], [0.0000, 0.0000, 5.1632]],
  "species": ["Br", "Se", "Mg", "I", "Se"],
  "fractional_positions": [[0.5000, 0.0000, 0.0000], [0.0000, 0.5000, 0.0000], [0.0000, 0.0000, 0.0000], [0.5000, 0.5000, 0.5000], [0.0000, 0.0000, 0.5000]]
}

***

Entry 8:
{
  "formula": "SrZrOF2",
  "functional": "PBEsol",
  "state": "relaxed",
  "spacegroup": "P4/mmm, No. 123",
  "formation_energy_uncorrected_ev_per_atom": -1.665,
  "e_above_lowest_polymorph_mev_per_atom": 984,
  "crystal_system": "tetragonal",
  "cell": [[4.3885, 0.0000, 0.0000], [0.0000, 4.3885, 0.0000], [0.0000, 0.0000, 4.8056]],
  "species": ["O", "F", "Zr", "F", "Sr"],
  "fractional_positions": [[0.0000, 0.0000, 0.5000], [0.5000, 0.0000, 0.0000], [0.5000, 0.5000, 0.5000], [0.0000, 0.5000, 0.0000], [0.0000, 0.0000, 0.0000]]
}

***

Entry 9:
{
  "formula": "La3C2Br3",
  "functional": "PBEsol",
  "state": "relaxed",
  "spacegroup": "C222_1, No. 20",
  "formation_energy_uncorrected_ev_per_atom": -1.291,
  "crystal_system": "orthorhombic",
  "cell": [[10.2441, -0.0059, 0.0000], [-3.8583, 9.4897, 0.0000], [0.0000, 0.0000, 16.9902]],
  "species": ["La", "Br", "La", "Br", "C", "C", "La", "Br", "La", "La", "La", "La", "C", "La", "Br", "La", "La", "La", "Br", "La", "C", "C", "Br", "C", "Br", "La", "La", "C", "Br", "C", "Br", "C", "La", "C", "C", "C", "Br", "Br", "Br", "Br", "Br", "La", "C", "Br", "La", "La", "Br", "Br", "La", "Br", "Br", "Br", "Br", "C", "Br", "C", "La", "La", "La", "La", "La", "Br", "Br", "C"],
  "fractional_positions": [[0.0168, 0.5486, 0.1049], [0.7554, 0.2679, 0.1310], [0.6220, 0.3780, 0.7500], [0.9001, 0.6338, 0.7410], [0.7857, 0.2277, 0.9055], [0.8591, 0.6628, 0.0243], [0.7471, 0.7760, 0.1070], [0.3662, 0.0999, 0.7590], [0.7760, 0.7471, 0.8930], [0.8616, 0.1149, 0.0041], [0.9908, 0.4788, 0.8739], [0.8851, 0.1384, 0.4959], [0.2143, 0.7723, 0.4055], [0.9832, 0.4514, 0.6049], [0.8552, 0.6185, 0.5028], [0.2240, 0.2529, 0.3930], [0.1384, 0.8851, 0.5041], [0.5212, 0.0092, 0.6261], [0.2679, 0.7554, 0.8690], [0.2529, 0.2240, 0.6070], [0.7266, 0.2880, 0.8496], [0.6008, 0.9157, 0.0321], [0.5050, 0.4906, 0.1156], [0.9157, 0.6008, 0.9679], [0.6185, 0.8552, 0.4972], [0.6079, 0.3237, 0.5156], [0.1624, 0.8376, 0.2500], [0.2277, 0.7857, 0.0945], [0.4950, 0.5094, 0.6156], [0.3372, 0.1409, 0.4757], [0.0288, 0.0154, 0.1329], [0.6628, 0.8591, 0.9757], [0.3237, 0.6079, 0.4844], [0.7723, 0.2143, 0.5945], [0.2734, 0.7120, 0.3496], [0.1409, 0.3372, 0.5243], [0.0154, 0.0288, 0.8671], [0.6295, 0.8602, 0.7597], [0.6338, 0.9001, 0.2590], [0.8602, 0.6295, 0.2403], [0.9712, 0.9846, 0.6329], [0.5486, 0.0168, 0.8951], [0.2880, 0.7266, 0.1504], [0.1398, 0.3705, 0.7403], [0.4788, 0.9908, 0.1261], [0.1149, 0.8616, 0.9959], [0.3705, 0.1398, 0.2597], [0.3815, 0.1448, 0.9972], [0.3780, 0.6220, 0.2500], [0.4906, 0.5050, 0.8844], [0.9846, 0.9712, 0.3671], [0.2446, 0.7321, 0.6310], [0.0999, 0.3662, 0.2410], [0.3992, 0.0843, 0.5321], [0.7321, 0.2446, 0.3690], [0.0843, 0.3992, 0.4679], [0.3921, 0.6763, 0.0156], [0.6763, 0.3921, 0.9844], [0.8376, 0.1624, 0.7500], [0.0092, 0.5212, 0.3739], [0.4514, 0.9832, 0.3951], [0.5094, 0.4950, 0.3844], [0.1448, 0.3815, 0.0028], [0.7120, 0.2734, 0.6504]]
}

***

Entry 10:
{
  "formula": "BeCd2Te",
  "functional": "PBEsol",
  "state": "relaxed",
  "spacegroup": "Cmm2, No. 35",
  "formation_energy_uncorrected_ev_per_atom": 0.323,
  "e_above_lowest_polymorph_mev_per_atom": 99,
  "crystal_system": "orthorhombic",
  "cell": [[3.3236, 0.0947, 0.0000], [-1.2999, 3.0603, 0.0000], [0.0000, 0.0000, 8.3495]],
  "species": ["Be", "Cd", "Cd", "Te"],
  "fractional_positions": [[0.5000, 0.5000, 0.2543], [0.5000, 0.5000, 0.7667], [0.0000, 0.0000, 0.0404], [0.0000, 0.0000, 0.4385]]
}

***

no.,uncorrected energy (eV per atom),magnetic moment (μB/cell),mass density (Mg/m³)
1,-2.77,0.0,4.1
2,-8.00,0.0,11.2
3,-6.24,0.0,6.4
4,-6.69,0.0,8.8
5,-5.17,2.8,9.1
6,-4.03,0.0,5.2
7,-2.67,0.0,5.0
8,-5.67,2.0,4.2
9,-6.41,0.0,5.5
10,-2.16,0.0,7.0